Entry one
The following is a PBE calculation of a geometry-optimized Tl6Sn structure, from Alexandria.

Calculated values
SG: P4/mmm

Cell lengths 5.4538, 5.4538, 7.7048 Å; angles 90.00, 90.00, 90.00 degrees
Fractional coordinates of all 7 atoms:
Tl 0.0000 0.0000 0.0000
Tl 0.0000 0.5000 0.2436
Tl 0.0000 0.5000 0.7564
Tl 0.5000 0.0000 0.2436
Tl 0.5000 0.0000 0.7564
Tl 0.5000 0.5000 0.5000
Sn 0.0000 0.0000 0.5000

---

Entry two
The following is a PBE calculation of a geometry-optimized Tl6Sn structure, from Alexandria.

Calculated values
SG: P4/nbm

Cell lengths 6.5951, 6.5951, 10.3697 Å; angles 90.00, 90.00, 90.00 degrees
Fractional coordinates of all 14 atoms:
Tl 0.0785 0.5785 0.1469
Tl 0.0785 0.9215 0.8531
Tl 0.2500 0.2500 0.3575
Tl 0.2500 0.2500 0.6425
Tl 0.4215 0.5785 0.8531
Tl 0.4215 0.9215 0.1469
Tl 0.5785 0.0785 0.8531
Tl 0.5785 0.4215 0.1469
Tl 0.7500 0.7500 0.3575
Tl 0.7500 0.7500 0.6425
Tl 0.9215 0.0785 0.1469
Tl 0.9215 0.4215 0.8531
Sn 0.2500 0.7500 0.5000
Sn 0.7500 0.2500 0.5000

---

Entry three
The following is a PBE calculation of a geometry-optimized Tl6Sn structure, from Alexandria.

Calculated values
SG: Im-3m

Cell lengths 7.3323, 7.3323, 7.3323 Å; angles 109.47, 109.47, 109.47 degrees
Fractional coordinates of all 7 atoms:
Tl 0.2500 0.5000 0.7500
Tl 0.2500 0.7500 0.5000
Tl 0.5000 0.2500 0.7500
Tl 0.5000 0.7500 0.2500
Tl 0.7500 0.2500 0.5000
Tl 0.7500 0.5000 0.2500
Sn 0.0000 0.0000 0.0000

---

Energies, relative to the best one, in eV/atom: entry one 0.000; entry two 0.070; entry three 0.490.

---

Entry one
The following is a PBE calculation of a geometry-optimized Tl3Sn2 structure, from Alexandria.

Calculated values
SG: R-3m

Cell lengths 14.0408, 14.0408, 14.0408 Å; angles 14.36, 14.36, 14.36 degrees
Fractional coordinates of all 5 atoms:
Tl 0.0000 0.0000 0.0000
Tl 0.4026 0.4026 0.4026
Tl 0.5974 0.5974 0.5974
Sn 0.1971 0.1971 0.1971
Sn 0.8029 0.8029 0.8029

---

Entry two
The following is a PBE calculation of a geometry-optimized Tl3Sn2 structure, from Alexandria.

Calculated values
SG: R-3c

Cell lengths 9.1785, 9.1785, 9.1785 Å; angles 42.48, 42.48, 42.48 degrees
Fractional coordinates of all 10 atoms:
Tl 0.2478 0.7500 0.2522
Tl 0.2500 0.7478 0.7522
Tl 0.2522 0.2478 0.7500
Tl 0.7478 0.7522 0.2500
Tl 0.7500 0.2522 0.2478
Tl 0.7522 0.2500 0.7478
Sn 0.1908 0.1908 0.1908
Sn 0.3092 0.3092 0.3092
Sn 0.6908 0.6908 0.6908
Sn 0.8092 0.8092 0.8092

---

Energies, relative to the best one, in eV/atom: entry one 0.000; entry two 0.119.

---

Entry one
The following is a PBE calculation of a geometry-optimized TlSn5 structure, from Alexandria.

Calculated values
SG: Cmmm

Cell lengths 8.3556, 8.3556, 3.9616 Å; angles 90.00, 90.00, 142.22 degrees
Fractional coordinates of all 6 atoms:
Tl 0.0000 0.0000 0.0000
Sn 0.1796 0.8204 0.5000
Sn 0.3381 0.6619 0.0000
Sn 0.5000 0.5000 0.5000
Sn 0.6619 0.3381 0.0000
Sn 0.8204 0.1796 0.5000

---

Entry two
The following is a PBE calculation of a geometry-optimized TlSn5 structure, from Alexandria.

Calculated values
SG: P4/mmm

Cell lengths 3.4507, 3.4507, 14.2313 Å; angles 90.00, 90.00, 90.00 degrees
Fractional coordinates of all 6 atoms:
Tl 0.0000 0.0000 0.0000
Sn 0.0000 0.0000 0.3337
Sn 0.0000 0.0000 0.6663
Sn 0.5000 0.5000 0.1761
Sn 0.5000 0.5000 0.5000
Sn 0.5000 0.5000 0.8239

---

Energies, relative to the best one, in eV/atom: entry one 0.030; entry two 0.000.

---

Entry one
The following is a PBE calculation of a geometry-optimized TmTlSn structure, from Alexandria.

Calculated values
SG: P-3m1

Cell lengths 5.1815, 5.1815, 6.9343 Å; angles 90.00, 90.00, 120.00 degrees
Fractional coordinates of all 6 atoms:
Tm 0.0000 0.0000 0.2410
Tm 0.0000 0.0000 0.7590
Tl 0.3333 0.6667 0.4401
Tl 0.6667 0.3333 0.5599
Sn 0.3333 0.6667 0.9575
Sn 0.6667 0.3333 0.0425

---

Entry two
The following is a PBE calculation of a geometry-optimized TmTlSn structure, from Alexandria.

Calculated values
SG: I4mm

Cell lengths 8.5750, 8.5750, 8.5750 Å; angles 157.66, 157.66, 31.80 degrees
Fractional coordinates of all 3 atoms:
Tm 0.0000 0.0000 0.0000
Tl 0.3625 0.3625 0.0000
Sn 0.1837 0.1837 0.0000

---

Energies, relative to the best one, in eV/atom: entry one 0.000; entry two 0.332.